Entry 1:
# K2ZnP

A geometry-optimized K2ZnP structure (PBEsol, Alexandria).

abc: 5.1992 5.1992 5.1992
angles: 60.00 60.00 60.00
Positions (direct):
1 K 0.0000 0.0000 0.0000
2 K 0.2500 0.2500 0.2500
3 Zn 0.5000 0.5000 0.5000
4 P 0.7500 0.7500 0.7500

***

Entry 2:
# K2ZrP

A geometry-optimized K2ZrP structure (PBEsol, Alexandria).

abc: 3.9469 3.9469 10.9807
angles: 99.54 99.54 59.98
Positions (direct):
1 K 0.0000 0.0000 0.0000
2 K 0.1891 0.1891 0.6146
3 Zr 0.7616 0.7616 0.3078
4 P 0.4580 0.4580 0.4040

***

| no. | DFT total energy (eV/cell) |
| --- | --- |
| 1 | -9.2 |
| 2 | -17.9 |